Record 1
Below is a geometry-optimized CdFeH3 structure, with properties calculated at the PBE-GGA level.

a = 3.3876 Å, b = 3.3876 Å, c = 3.3876 Å
α = 90.00°, β = 90.00°, γ = 90.00°
Positions (direct):
Cd (0.0000, 0.0000, 0.0000)
Fe (0.5000, 0.5000, 0.5000)
H (0.0000, 0.5000, 0.5000)
H (0.5000, 0.0000, 0.5000)
H (0.5000, 0.5000, 0.0000)

Summary:
As for the space-group type: Pm-3m (221). For the density, the calculation gives 7.32 g/cm3. The calculation puts the relative energy among the computed polymorphs at 0.0 meV/atom.

Record 2
Below is a geometry-optimized MnGePd structure, with properties calculated at the PBE-GGA level.

a = 4.4592 Å, b = 4.4592 Å, c = 4.4592 Å
α = 137.97°, β = 121.30°, γ = 74.79°
Positions (direct):
Mn (0.0000, 0.0000, 0.0000)
Ge (0.5966, 0.5966, 0.0000)
Pd (0.2986, 0.7986, 0.5000)

Summary:
As for the space-group type: Imm2 (44). For the density, the calculation gives 7.85 g/cm3. Its formation energy from the elements is -0.136 eV per atom.

Record 3
Below is a geometry-optimized Tb2Ga3Ni12Pt structure, with properties calculated at the PBE-GGA level.

a = 6.3593 Å, b = 6.3593 Å, c = 6.3593 Å
α = 84.26°, β = 84.26°, γ = 84.26°
Positions (direct):
Tb (0.1889, 0.1889, 0.1889)
Tb (0.8111, 0.8111, 0.8111)
Ga (0.0000, 0.5000, 0.5000)
Ga (0.5000, 0.0000, 0.5000)
Ga (0.5000, 0.5000, 0.0000)
Ni (0.0953, 0.0953, 0.6252)
Ni (0.0953, 0.6252, 0.0953)
Ni (0.2097, 0.6996, 0.6996)
Ni (0.3004, 0.3004, 0.7903)
Ni (0.3004, 0.7903, 0.3004)
Ni (0.3748, 0.9047, 0.9047)
Ni (0.6252, 0.0953, 0.0953)
Ni (0.6996, 0.2097, 0.6996)
Ni (0.6996, 0.6996, 0.2097)
Ni (0.7903, 0.3004, 0.3004)
Ni (0.9047, 0.3748, 0.9047)
Ni (0.9047, 0.9047, 0.3748)
Pt (0.5000, 0.5000, 0.5000)

Summary:
As for the space-group type: R-3m (166). For the density, the calculation gives 9.34 g/cm3. Its formation energy from the elements is -0.101 eV per atom.

Record 4
Below is a geometry-optimized TbTl2I5 structure, with properties calculated at the PBE-GGA level.

a = 14.1947 Å, b = 9.6766 Å, c = 9.3404 Å
α = 90.00°, β = 90.00°, γ = 90.00°
Positions (direct):
Tb (0.0059, 0.2500, 0.0788)
Tb (0.4941, 0.7500, 0.5788)
Tb (0.5059, 0.2500, 0.4212)
Tb (0.9941, 0.7500, 0.9212)
Tl (0.1717, 0.0050, 0.5844)
Tl (0.1717, 0.4950, 0.5844)
Tl (0.3283, 0.5050, 0.0844)
Tl (0.3283, 0.9950, 0.0844)
Tl (0.6717, 0.0050, 0.9156)
Tl (0.6717, 0.4950, 0.9156)
Tl (0.8283, 0.5050, 0.4156)
Tl (0.8283, 0.9950, 0.4156)
I (0.0057, 0.2500, 0.4219)
I (0.0657, 0.5480, 0.1716)
I (0.0657, 0.9520, 0.1716)
I (0.1914, 0.2500, 0.9020)
I (0.2062, 0.7500, 0.8541)
I (0.2938, 0.2500, 0.3541)
I (0.3086, 0.7500, 0.4020)
I (0.4343, 0.0480, 0.6716)
I (0.4343, 0.4520, 0.6716)
I (0.4943, 0.7500, 0.9219)
I (0.5057, 0.2500, 0.0781)
I (0.5657, 0.5480, 0.3284)
I (0.5657, 0.9520, 0.3284)
I (0.6914, 0.2500, 0.5980)
I (0.7062, 0.7500, 0.6459)
I (0.7938, 0.2500, 0.1459)
I (0.8086, 0.7500, 0.0980)
I (0.9343, 0.0480, 0.8284)
I (0.9343, 0.4520, 0.8284)
I (0.9943, 0.7500, 0.5781)

Summary:
As for the space-group type: Pnma (62). For the density, the calculation gives 6.22 g/cm3. The uncorrected formation energy is -1.021 eV/atom. The calculation puts the relative energy among the computed polymorphs at 0.0 meV/atom.

Record 5
Below is a geometry-optimized BeInSb2Mo structure, with properties calculated at the PBE-GGA level.

a = 5.5300 Å, b = 5.5300 Å, c = 5.3124 Å
α = 90.00°, β = 90.00°, γ = 90.00°
Positions (direct):
Be (0.0000, 0.0000, 0.0000)
In (0.5000, 0.5000, 0.5000)
Sb (0.0000, 0.5000, 0.5000)
Sb (0.5000, 0.0000, 0.5000)
Mo (0.5000, 0.5000, 0.0000)

Summary:
As for the space-group type: P4/mmm (123). For the density, the calculation gives 4.74 g/cm3. The uncorrected formation energy is 1.826 eV/atom.

Record 6
Below is a geometry-optimized Nd5TeP4 structure, with properties calculated at the PBE-GGA level.

a = 7.3400 Å, b = 7.3400 Å, c = 10.4254 Å
α = 118.30°, β = 118.30°, γ = 33.38°
Positions (direct):
Nd (0.0000, 0.0000, 0.0000)
Nd (0.2066, 0.2066, 0.8159)
Nd (0.3902, 0.3902, 0.6133)
Nd (0.6098, 0.6098, 0.3867)
Nd (0.7934, 0.7934, 0.1841)
Te (0.0000, 0.0000, 0.5000)
P (0.2034, 0.2034, 0.2965)
P (0.4029, 0.4029, 0.1026)
P (0.5971, 0.5971, 0.8974)
P (0.7966, 0.7966, 0.7035)

Summary:
As for the space-group type: C2/m (12). For the density, the calculation gives 6.02 g/cm3. The uncorrected formation energy is -1.555 eV/atom.